An optimized crystal structure of MgCoRe2, computed with PBE-GGA.

Geometry as extended XYZ:
```
4
Lattice="2.709 0.013 0.000 -0.013 2.709 0.000 0.000 0.000 7.899" Properties=species:S:1:pos:R:3 pbc="T T T"
Re 1.348 1.361 2.201
Re 0.000 0.000 0.097
Mg 1.348 1.361 5.746
Co 0.000 0.000 3.805
```

Computed properties:
- energy (eV per atom) = -8.2041
- formation energy (eV per formula unit) = 0.780
- M_tot (μB per atom) = 0.000